Record 1
Computed, not measured: a relaxed structure of ZrMn2As at the PBE-GGA level of DFT.

Lattice parameters (Å, degrees): 3.9958 3.9909 3.8421 90.00 90.00 90.00
Each line ends with the local moment (μB).
Element x y z (fractional)
Mn 0.5000 0.5000 0.0000  2.44
As 0.0000 0.5000 0.5000  -0.03
Zr 0.5000 0.0000 0.5000  -0.40
Mn 0.0000 0.0000 0.0000  2.44

Values from the calculation:
The value obtained for the energy of formation is -0.19 eV/atom.

=====

Record 2
Computed, not measured: a relaxed structure of ZrMn2As2 at the PBE-GGA level of DFT.

Lattice parameters (Å, degrees): 7.1117 7.1117 2.9110 90.00 90.00 90.00
Element x y z (fractional)
As 0.3501 0.8501 0.0000
Zr 0.5000 0.5000 0.0000
As 0.8501 0.6499 0.0000
Mn 0.8637 0.3637 0.5000
Zr 0.0000 0.0000 0.0000
As 0.6499 0.1499 0.0000
Mn 0.1363 0.6363 0.5000
As 0.1499 0.3501 0.0000
Mn 0.6363 0.8637 0.5000
Mn 0.3637 0.1363 0.5000

Values from the calculation:
The value obtained for the energy of formation is -0.14 eV/atom.